# 1
CeTiBe2Pt5 after structural relaxation, computed with GGA-PBE.

Output
calculated total energy = -6.42 eV/atom

Cell lengths 4.0010, 4.0010, 9.9224 Å; angles 90.00, 90.00, 90.00 degrees
With the nearest neighbours (Å) after each atom.
Positions (direct):
1 Ce 0.0000 0.0000 0.0000  4 Pt 2.83
2 Ti 0.0000 0.0000 0.5000  8 Pt 2.62
3 Be 0.5000 0.5000 0.2254  5 Pt 2.24-2.25
4 Be 0.5000 0.5000 0.7746  5 Pt 2.24-2.25
5 Pt 0.0000 0.5000 0.3294  2 Be 2.25
6 Pt 0.0000 0.5000 0.6706  2 Be 2.25
7 Pt 0.5000 0.0000 0.3294  2 Be 2.25
8 Pt 0.5000 0.0000 0.6706  2 Be 2.25
9 Pt 0.5000 0.5000 0.0000  2 Be 2.24

***

# 2
RbNaBe2Cl6 after structural relaxation, computed with GGA-PBE.

Output
raw formation energy = -16.00 eV/f.u.
calculated total energy = -3.68 eV/atom

Cell lengths 8.7651, 8.7651, 7.6538 Å; angles 103.78, 103.78, 86.58 degrees
With the nearest neighbours (Å) after each atom.
Positions (direct):
1 Rb 0.1668 0.8332 0.7500  8 Cl 3.39-3.49
2 Rb 0.8332 0.1668 0.2500  8 Cl 3.39-3.49
3 Na 0.3984 0.6016 0.2500  6 Cl 2.89-2.93
4 Na 0.6016 0.3984 0.7500  6 Cl 2.89-2.93
5 Be 0.1319 0.3283 0.7137  3 Cl 1.93-1.95
6 Be 0.3283 0.1319 0.2137  3 Cl 1.93-1.95
7 Be 0.6717 0.8681 0.7863  3 Cl 1.93-1.95
8 Be 0.8681 0.6717 0.2863  3 Cl 1.93-1.95
9 Cl 0.0840 0.6018 0.3136  1 Be 1.93
10 Cl 0.1386 0.1819 0.0495  1 Be 1.93
11 Cl 0.1819 0.1386 0.5495  1 Be 1.93
12 Cl 0.3006 0.4752 0.8553  1 Be 1.95
13 Cl 0.3982 0.9160 0.1864  1 Be 1.93
14 Cl 0.4752 0.3006 0.3553  1 Be 1.95
15 Cl 0.5248 0.6994 0.6447  1 Be 1.95
16 Cl 0.6018 0.0840 0.8136  1 Be 1.93
17 Cl 0.6994 0.5248 0.1447  1 Be 1.95
18 Cl 0.8181 0.8614 0.4505  1 Be 1.93
19 Cl 0.8614 0.8181 0.9505  1 Be 1.93
20 Cl 0.9160 0.3982 0.6864  1 Be 1.93

***

# 3
TiCuSbI2 after structural relaxation, computed with GGA-PBE.

Output
energy above the most stable polymorph in this dataset = 342 meV per atom
raw formation energy = 3.65 eV/f.u.
calculated total energy = -3.11 eV/atom

Cell lengths 5.2348, 5.2348, 5.2040 Å; angles 90.00, 90.00, 90.00 degrees
With the nearest neighbours (Å) after each atom.
Positions (direct):
1 Ti 0.0000 0.0000 0.0000  8 I 3.69, 4 Sb 3.70
2 Cu 0.5000 0.5000 0.5000  2 Sb 2.60, 4 I 2.62
3 Sb 0.5000 0.5000 0.0000  2 Cu 2.60
4 I 0.0000 0.5000 0.5000  2 Cu 2.62
5 I 0.5000 0.0000 0.5000  2 Cu 2.62

***

# 4
La2FeSi after structural relaxation, computed with GGA-PBE.

Output
raw formation energy = -1.49 eV/f.u.
calculated total energy = -6.31 eV/atom

Cell lengths 8.0295, 8.0295, 8.0295 Å; angles 29.48, 29.48, 29.48 degrees
With the nearest neighbours (Å) after each atom.
Positions (direct):
1 La 0.0000 0.0000 0.0000  3 Si 3.02, 3 Fe 3.03
2 La 0.1648 0.1648 0.1648  3 Fe 3.03, 3 Si 3.03
3 Fe 0.7491 0.7491 0.7491  3 Si 2.36
4 Si 0.4156 0.4156 0.4156  3 Fe 2.36

***

# 5
HfBe3In after structural relaxation, computed with GGA-PBE.

Output
energy above the most stable polymorph in this dataset = 0 meV per atom
calculated total energy = -3.68 eV/atom

Cell lengths 4.3741, 4.3741, 4.3741 Å; angles 90.00, 90.00, 90.00 degrees
With the nearest neighbours (Å) after each atom.
Positions (direct):
1 Hf 0.0000 0.0000 0.0000  12 Be 3.09
2 Be 0.0000 0.5000 0.5000  2 In 2.19
3 Be 0.5000 0.0000 0.5000  2 In 2.19
4 Be 0.5000 0.5000 0.0000  2 In 2.19
5 In 0.5000 0.5000 0.5000  6 Be 2.19

***

# 6
CeSm9Y2 after structural relaxation, computed with GGA-PBE.

Output
calculated total energy = -5.07 eV/atom

Cell lengths 5.1066, 5.1066, 15.3214 Å; angles 90.00, 90.00, 90.00 degrees
With the nearest neighbours (Å) after each atom.
Positions (direct):
1 Ce 0.0000 0.0000 0.0000  12 Sm 3.59-3.61
2 Sm 0.0000 0.5000 0.1646  8 Sm 3.59-3.65, 2 Ce 3.59, 2 Y 3.63
3 Sm 0.0000 0.5000 0.5000  8 Sm 3.60-3.61, 4 Y 3.62
4 Sm 0.0000 0.5000 0.8354  8 Sm 3.59-3.65, 2 Ce 3.59, 2 Y 3.63
5 Sm 0.5000 0.0000 0.1646  8 Sm 3.59-3.65, 2 Ce 3.59, 2 Y 3.63
6 Sm 0.5000 0.0000 0.5000  8 Sm 3.60-3.61, 4 Y 3.62
7 Sm 0.5000 0.0000 0.8354  8 Sm 3.59-3.65, 2 Ce 3.59, 2 Y 3.63
8 Sm 0.5000 0.5000 0.0000  8 Sm 3.59, 4 Ce 3.61
9 Sm 0.5000 0.5000 0.3344  8 Sm 3.60-3.65, 4 Y 3.61
10 Sm 0.5000 0.5000 0.6656  8 Sm 3.60-3.65, 4 Y 3.61
11 Y 0.0000 0.0000 0.3326  12 Sm 3.61-3.63
12 Y 0.0000 0.0000 0.6674  12 Sm 3.61-3.63

***

The following size of the total moment values (in Bohr magnetons per cell) correspond, in order, to the records above: 0.80; 0.00; 0.00; 0.33; 0.00; 0.98.